Below is a relaxed CrBrO2 crystal, with properties calculated at the PBE with a Hubbard U level.

The structure belongs to space group R-3m (No. 166, hexagonal axes); the cell edges are 2.9176, 2.9176 and 28.7438 Å and the angles 90.00°, 90.00° and 120.00°. The asymmetric unit holds Cr at (0.0000, 0.0000, 0.0000), Br at (0.0000, 0.0000, 0.5000) and O at (0.0000, 0.0000, 0.0575).

As for the crystal system: trigonal. As for the total moment: 0.00 Bohr magnetons per cell. The calculation puts the energy above the most stable polymorph in this dataset at 1.462 eV/atom.